(1)
Material: ReIrRh2
Method: DFT, GGA-PBEsol
State: relaxed

## Properties
E	-38.42	eV per cell
E above lowest polymorph	371	meV/atom

Lattice parameters (Å, degrees): 3.2513 3.2513 5.3703 90.00 90.00 90.00
With the nearest neighbours (Å) after each atom.
Element x y z (fractional)
Re  0.0000  0.0000  0.0000  4 Ir 2.66, 6 Rh 2.67-2.70
Ir  0.5000  0.5000  0.7525  4 Re 2.66, 6 Rh 2.66-2.69
Rh  0.0000  0.0000  0.5020  4 Rh 2.66, 4 Ir 2.66, 2 Re 2.67-2.70
Rh  0.5000  0.5000  0.2531  4 Rh 2.66, 4 Re 2.67, 2 Ir 2.68-2.69

---

(2)
Material: ReIrRh2
Method: DFT, GGA-PBEsol
State: relaxed

## Properties
E	-39.80	eV per cell
E above lowest polymorph	24	meV/atom

Lattice parameters (Å, degrees): 2.6951 2.6951 7.6614 90.00 90.00 90.00
With the nearest neighbours (Å) after each atom.
Element x y z (fractional)
Re  0.0000  0.0000  0.0000  4 Rh 2.68, 4 Ir 2.69, 4 Re 2.70
Ir  0.5000  0.5000  0.7515  4 Re 2.69, 4 Ir 2.70, 4 Rh 2.72
Rh  0.0000  0.0000  0.4991  8 Rh 2.70-2.72, 4 Ir 2.72
Rh  0.5000  0.5000  0.2457  4 Re 2.68, 8 Rh 2.70-2.72

---

(3)
Material: ReIr2Rh
Method: DFT, GGA-PBEsol
State: relaxed

## Properties
E	-41.52	eV per cell
E above lowest polymorph	36	meV/atom

Lattice parameters (Å, degrees): 2.6907 3.8482 5.4004 90.00 90.00 90.00
With the nearest neighbours (Å) after each atom.
Element x y z (fractional)
Re  0.0000  0.0000  0.0000  6 Ir 2.69-2.71, 2 Re 2.69, 4 Rh 2.70
Ir  0.0000  0.0000  0.4977  2 Re 2.69-2.71, 6 Ir 2.69-2.72, 4 Rh 2.71
Ir  0.5000  0.5000  0.7528  2 Rh 2.67-2.73, 6 Ir 2.69-2.72, 4 Re 2.70
Rh  0.5000  0.5000  0.2475  6 Ir 2.67-2.73, 2 Rh 2.69, 4 Re 2.70

---

(4)
Material: ReIr2Rh
Method: DFT, GGA-PBEsol
State: relaxed

## Properties
E	-124.45	eV per cell
E above lowest polymorph	46	meV/atom

Lattice parameters (Å, degrees): 2.7065 2.7065 26.5375 90.00 90.00 120.00
With the nearest neighbours (Å) after each atom.
Element x y z (fractional)
Re  0.0000  0.0000  0.0000  6 Ir 2.69, 6 Re 2.71
Re  0.3333  0.6667  0.6667  6 Ir 2.69, 6 Re 2.71
Re  0.6667  0.3333  0.3333  6 Ir 2.69, 6 Re 2.71
Ir  0.0000  0.0000  0.2509  3 Re 2.69, 6 Ir 2.71, 3 Rh 2.73
Ir  0.0000  0.0000  0.7491  3 Re 2.69, 6 Ir 2.71, 3 Rh 2.73
Ir  0.3333  0.6667  0.4158  3 Re 2.69, 6 Ir 2.71, 3 Rh 2.73
Ir  0.3333  0.6667  0.9175  3 Re 2.69, 6 Ir 2.71, 3 Rh 2.73
Ir  0.6667  0.3333  0.0825  3 Re 2.69, 6 Ir 2.71, 3 Rh 2.73
Ir  0.6667  0.3333  0.5842  3 Re 2.69, 6 Ir 2.71, 3 Rh 2.73
Rh  0.0000  0.0000  0.5000  6 Rh 2.71, 6 Ir 2.73
Rh  0.3333  0.6667  0.1667  6 Rh 2.71, 6 Ir 2.73
Rh  0.6667  0.3333  0.8333  6 Rh 2.71, 6 Ir 2.73

---

(5)
Material: ReIr2Ru
Method: DFT, GGA-PBEsol
State: relaxed

## Properties
E	-41.66	eV per cell

Lattice parameters (Å, degrees): 3.2814 3.2814 5.3594 90.00 90.00 90.00
With the nearest neighbours (Å) after each atom.
Element x y z (fractional)
Re  0.0000  0.0000  0.0000  2 Ru 2.68, 8 Ir 2.69
Ir  0.5000  0.5000  0.2525  2 Ir 2.65-2.71, 4 Ru 2.67, 4 Re 2.69
Ir  0.5000  0.5000  0.7475  2 Ir 2.65-2.71, 4 Ru 2.67, 4 Re 2.69
Ru  0.0000  0.0000  0.5000  8 Ir 2.67, 2 Re 2.68

---

(6)
Material: ReIr2Ru
Method: DFT, GGA-PBEsol
State: relaxed

## Properties
E	-43.57	eV per cell

Lattice parameters (Å, degrees): 3.8088 3.8088 3.8439 90.00 90.00 90.00
With the nearest neighbours (Å) after each atom.
Element x y z (fractional)
Re  0.0000  0.0000  0.0000  4 Ru 2.69, 8 Ir 2.71
Ir  0.0000  0.5000  0.5000  4 Ir 2.69, 4 Re 2.71, 4 Ru 2.71
Ir  0.5000  0.0000  0.5000  4 Ir 2.69, 4 Re 2.71, 4 Ru 2.71
Ru  0.5000  0.5000  0.0000  4 Re 2.69, 8 Ir 2.71

---

(7)
Material: ReIr2Ru
Method: DFT, GGA-PBEsol
State: relaxed

## Properties
E	-43.45	eV per cell

Lattice parameters (Å, degrees): 2.6925 3.8356 5.4090 90.00 90.00 90.00
With the nearest neighbours (Å) after each atom.
Element x y z (fractional)
Re  0.0000  0.0000  0.0000  6 Ir 2.67-2.74, 2 Re 2.69, 4 Ru 2.70
Ir  0.0000  0.0000  0.4931  2 Re 2.67-2.74, 4 Ru 2.69, 6 Ir 2.69-2.73
Ir  0.5000  0.5000  0.7527  2 Ru 2.69-2.72, 6 Ir 2.69-2.73, 4 Re 2.70
Ru  0.5000  0.5000  0.2496  6 Ir 2.69-2.72, 2 Ru 2.69, 4 Re 2.70

---

(8)
Material: ReIrRu2
Method: DFT, GGA-PBEsol
State: relaxed

## Properties
E	-44.10	eV per cell

Lattice parameters (Å, degrees): 2.7112 4.3029 4.7136 90.00 90.00 90.00
With the nearest neighbours (Å) after each atom.
Element x y z (fractional)
Re  0.0000  0.0000  0.0000  6 Ru 2.65-2.77, 4 Ir 2.67, 2 Re 2.71
Ir  0.5000  0.5000  0.1759  6 Ru 2.67-2.74, 4 Re 2.67, 2 Ir 2.71
Ru  0.0000  0.5000  0.6719  2 Re 2.65, 6 Ru 2.65-2.71, 4 Ir 2.70-2.74
Ru  0.5000  0.0000  0.5123  6 Ru 2.65-2.71, 4 Re 2.67-2.77, 2 Ir 2.67

---

(9)
Material: ReIrRu
Method: DFT, GGA-PBEsol
State: relaxed

## Properties
E	-32.92	eV per cell
E above lowest polymorph	177	meV/atom

Lattice parameters (Å, degrees): 4.2750 4.2750 2.7024 90.00 90.00 120.00
With the nearest neighbours (Å) after each atom.
Element x y z (fractional)
Re  0.0000  0.0000  0.0000  3 Ru 2.47, 2 Re 2.70
Ir  0.3333  0.6667  0.5000  2 Ir 2.70, 6 Re 2.81, 6 Ru 2.81
Ru  0.6667  0.3333  0.0000  3 Re 2.47, 2 Ru 2.70

---

(10)
Material: ReIr3Ru
Method: DFT, GGA-PBEsol
State: relaxed

## Properties
E	-41.43	eV per cell

Lattice parameters (Å, degrees): 4.6389 4.6389 4.6389 90.00 90.00 90.00
With the nearest neighbours (Å) after each atom.
Element x y z (fractional)
Re  0.0000  0.0000  0.0000  6 Ir 2.32
Ir  0.0000  0.0000  0.5000  2 Re 2.32
Ir  0.0000  0.5000  0.0000  2 Re 2.32
Ir  0.5000  0.0000  0.0000  2 Re 2.32
Ru  0.5000  0.5000  0.5000  12 Ir 3.28

---

(11)
Material: ReIr2Ru
Method: DFT, GGA-PBEsol
State: relaxed

## Properties
E	-86.95	eV per cell

Lattice parameters (Å, degrees): 8.9636 2.6908 4.6992 90.00 99.79 90.00
With the nearest neighbours (Å) after each atom.
Element x y z (fractional)
Re  0.0000  0.0000  0.0000  7 Ir 2.69-2.73, 2 Re 2.69, 3 Ru 2.70-2.71
Re  0.5000  0.5000  0.0000  7 Ir 2.69-2.73, 2 Re 2.69, 3 Ru 2.70-2.71
Ir  0.0013  0.5000  0.5054  3 Ru 2.69, 4 Re 2.69-2.73, 5 Ir 2.69-2.74
Ir  0.2482  0.5000  0.2449  3 Re 2.69-2.70, 5 Ir 2.69-2.74, 4 Ru 2.70-2.71
Ir  0.5013  0.0000  0.5054  3 Ru 2.69, 4 Re 2.69-2.73, 5 Ir 2.69-2.74
Ir  0.7482  0.0000  0.2449  3 Re 2.69-2.70, 5 Ir 2.69-2.74, 4 Ru 2.70-2.71
Ru  0.2506  0.0000  0.7472  7 Ir 2.69-2.71, 2 Ru 2.69, 3 Re 2.70-2.71
Ru  0.7506  0.5000  0.7472  7 Ir 2.69-2.71, 2 Ru 2.69, 3 Re 2.70-2.71

---

(12)
Material: ReIr2Ru
Method: DFT, GGA-PBEsol
State: relaxed

## Properties
E	-87.11	eV per cell

Lattice parameters (Å, degrees): 3.8181 3.8181 7.6500 90.00 90.00 90.00
With the nearest neighbours (Å) after each atom.
Element x y z (fractional)
Re  0.0000  0.0000  0.0000  4 Ru 2.70, 8 Ir 2.70
Re  0.5000  0.5000  0.5000  4 Ru 2.70, 8 Ir 2.70
Ir  0.0000  0.5000  0.2500  4 Ir 2.70, 4 Re 2.70, 4 Ru 2.70
Ir  0.0000  0.5000  0.7500  4 Ir 2.70, 4 Re 2.70, 4 Ru 2.70
Ir  0.5000  0.0000  0.2500  4 Ir 2.70, 4 Re 2.70, 4 Ru 2.70
Ir  0.5000  0.0000  0.7500  4 Ir 2.70, 4 Re 2.70, 4 Ru 2.70
Ru  0.0000  0.0000  0.5000  4 Re 2.70, 8 Ir 2.70
Ru  0.5000  0.5000  0.0000  4 Re 2.70, 8 Ir 2.70